No. 1
DFT (PBE-GGA) results for an optimized crystal structure of TbDyTm2P4.

Cell lengths 6.897, 3.984, 6.898 Å; angles 90.00, 109.47, 90.00 degrees
Space group P2/m (No. 10)
Inequivalent atoms, fractional coordinates:
Tb 0.000 0.000 0.000 [1 per cell]
Dy 0.000 0.500 0.500 [1 per cell]
Tm 0.500 0.000 0.500 [1 per cell]
Tm 0.500 0.500 0.000 [1 per cell]
P 0.254 0.000 0.751 [2 per cell]
P 0.255 0.500 0.252 [2 per cell]

## Properties
Energy of formation from the pure elements, meV per atom: -1609

=====

No. 2
DFT (PBE-GGA) results for an optimized crystal structure of YUNi17.

Cell lengths 8.2475, 8.2475, 12.0539 Å; angles 90.00, 90.00, 120.00 degrees
Space group R3m (No. 160, hexagonal axes)
Inequivalent atoms, fractional coordinates:
Y 0.0000 0.0000 0.0000 [3 per cell]
U 0.0000 0.0000 0.3268 [3 per cell]
Ni 0.0000 0.0000 0.5585 [3 per cell]
Ni 0.0000 0.0000 0.7585 [3 per cell]
Ni 0.0365 0.3669 0.3285 [18 per cell]
Ni 0.1677 0.3353 0.1485 [9 per cell]
Ni 0.1677 0.3355 0.4960 [9 per cell]
Ni 0.1698 0.3397 0.8420 [9 per cell]

## Properties
Energy of formation from the pure elements, meV per atom: -163

=====

No. 3
DFT (PBE-GGA) results for an optimized crystal structure of Dy2ErAu.

Cell lengths 4.705, 4.705, 4.695 Å; angles 90.00, 90.00, 90.00 degrees
Space group P4/mmm (No. 123)
Inequivalent atoms, fractional coordinates:
Dy 0.000 0.500 0.000 [2 per cell]
Er 0.000 0.000 0.500 [1 per cell]
Au 0.500 0.500 0.500 [1 per cell]

## Properties
Offset from the most stable computed form, eV per atom: 0.199
Energy of formation from the pure elements, meV per atom: -251

=====

No. 4
DFT (PBE-GGA) results for an optimized crystal structure of GdErAgHg.

Cell lengths 7.361, 7.361, 7.361 Å; angles 90.00, 90.00, 90.00 degrees
Space group F-43m (No. 216)
Inequivalent atoms, fractional coordinates:
Gd 0.000 0.000 0.000 [4 per cell]
Er 0.000 0.000 0.500 [4 per cell]
Ag 0.250 0.250 0.750 [4 per cell]
Hg 0.250 0.250 0.250 [4 per cell]

## Properties
Energy of formation from the pure elements, meV per atom: -403

=====

No. 5
DFT (PBE-GGA) results for an optimized crystal structure of Pr3P2H.

Cell lengths 4.101, 13.076, 10.516 Å; angles 90.00, 90.00, 90.00 degrees
Space group Cmcm (No. 63)
Inequivalent atoms, fractional coordinates:
Pr 0.000 0.081 0.250 [4 per cell]
Pr 0.000 0.357 0.073 [8 per cell]
P 0.000 0.000 0.000 [4 per cell]
P 0.000 0.257 0.750 [4 per cell]
H 0.000 0.468 0.250 [4 per cell]

## Properties
Offset from the most stable computed form, eV per atom: 0.000

=====

No. 6
DFT (PBE-GGA) results for an optimized crystal structure of UCuBi2.

Cell lengths 4.852, 4.852, 4.163 Å; angles 90.00, 90.00, 90.00 degrees
Space group P4/mmm (No. 123)
Inequivalent atoms, fractional coordinates:
U 0.000 0.000 0.000 [1 per cell]
Cu 0.500 0.500 0.000 [1 per cell]
Bi 0.000 0.500 0.500 [2 per cell]

## Properties
Offset from the most stable computed form, eV per atom: 0.093
Energy of formation from the pure elements, meV per atom: 126

=====

| no. | E (eV/f.u.) | calculated volume (Å³ per atom) |
| --- | --- | --- |
| 1 | -52.688 | 22.3 |
| 2 | -119.124 | 12.5 |
| 3 | -18.049 | 26.0 |
| 4 | -23.410 | 24.9 |
| 5 | -35.241 | 23.5 |
| 6 | -22.641 | 24.5 |